(1)
# Mg2TlNi, optimized geometry, DFT PBEsol
data_Mg2TlNi
_cell_length_a 3.1024
_cell_length_b 3.1024
_cell_length_c 7.6120
_cell_angle_alpha 90.00
_cell_angle_beta 90.00
_cell_angle_gamma 90.00
_symmetry_space_group_name_H-M 'P 4/m m m'
_symmetry_Int_Tables_number 123
_symmetry_space_group_name_Hall '-P 4 2'
loop_
_atom_site_label
_atom_site_fract_x
_atom_site_fract_y
_atom_site_fract_z
_atom_site_occupancy
Mg1 0.0000 0.0000 0.1931 1
Tl1 0.5000 0.5000 0.5000 1
Ni1 0.5000 0.5000 0.0000 1
# M_tot = 0.000 μB per atom
# calculated total energy = -3.132 eV per atom
# N(E_F) = 1.9 states/eV/f.u.
# ρ = 7.1 g/cm3

=====

(2)
# Ta2Ni3S8, optimized geometry, DFT PBEsol
data_Ta2Ni3S8
_cell_length_a 10.1135
_cell_length_b 14.0151
_cell_length_c 3.2960
_cell_angle_alpha 90.00
_cell_angle_beta 90.00
_cell_angle_gamma 90.00
_symmetry_space_group_name_H-M 'P b a m'
_symmetry_Int_Tables_number 55
loop_
_symmetry_equiv_pos_as_xyz
'x,y,z'
'-x,-y,-z'
'-x,-y,z'
'x,y,-z'
'x+1/2,-y+1/2,-z'
'-x+1/2,y+1/2,z'
'-x+1/2,y+1/2,-z'
'x+1/2,-y+1/2,z'
loop_
_atom_site_label
_atom_site_fract_x
_atom_site_fract_y
_atom_site_fract_z
_atom_site_occupancy
Ta1 0.1916 0.1230 0.0000 1
Ni1 0.0000 0.0000 0.5000 1
Ni2 0.1437 0.7314 0.5000 1
S1 0.0165 0.1557 0.5000 1
S2 0.0708 0.6387 0.0000 1
S3 0.2163 0.9954 0.5000 1
S4 0.2343 0.2917 0.0000 1
# M_tot = 0.000 μB per atom
# calculated total energy = -6.850 eV per atom
# N(E_F) = 0.0 states/eV/f.u.
# ρ = 5.6 g/cm3

=====

(3)
# KFeRu, optimized geometry, DFT PBEsol
data_KFeRu
_cell_length_a 3.0180
_cell_length_b 3.0180
_cell_length_c 12.8179
_cell_angle_alpha 90.00
_cell_angle_beta 90.00
_cell_angle_gamma 90.00
_symmetry_space_group_name_H-M 'I 4 m m'
_symmetry_Int_Tables_number 107
_symmetry_space_group_name_Hall 'I 4 -2'
loop_
_atom_site_label
_atom_site_fract_x
_atom_site_fract_y
_atom_site_fract_z
_atom_site_occupancy
K1 0.0000 0.0000 0.0000 1
Fe1 0.0000 0.0000 0.2889 1
Ru1 0.0000 0.0000 0.7082 1
# M_tot = 0.932 μB per atom
# calculated total energy = -5.848 eV per atom
# N(E_F) = 4.1 states/eV/f.u.
# ρ = 5.6 g/cm3

=====

(4)
# Cs2WCl6, optimized geometry, DFT PBEsol
data_Cs2WCl6
_cell_length_a 10.1753
_cell_length_b 10.1753
_cell_length_c 10.1753
_cell_angle_alpha 90.00
_cell_angle_beta 90.00
_cell_angle_gamma 90.00
_symmetry_space_group_name_H-M 'F m -3 m'
_symmetry_Int_Tables_number 225
_symmetry_space_group_name_Hall '-F 4 2 3'
loop_
_atom_site_label
_atom_site_fract_x
_atom_site_fract_y
_atom_site_fract_z
_atom_site_occupancy
Cs1 0.2500 0.2500 0.2500 1
W1 0.0000 0.0000 0.0000 1
Cl1 0.0000 0.0000 0.2332 1
# M_tot = 0.222 μB per atom
# calculated total energy = -4.495 eV per atom
# N(E_F) = 8.1 states/eV/f.u.
# ρ = 4.2 g/cm3

=====

Among the records above, which one has the lowest ρ?
Cs2WCl6

=====

The lowest N(E_F) belongs to which entry?
Ta2Ni3S8

=====

Look up the ρ of the fourth one.
4.2 g/cm3